[1]
A geometry-optimized Dy4IrOs structure. Source: Alexandria via LeMat-Bulk, functional PBE.

Summary:
The formation energy comes out at -500 meV per atom. The magnetic moment comes out at 0.00 μB/f.u. The value obtained for the electronic total energy is -6.92 eV per atom. The density of states at the Fermi level is 0.74 states/eV per atom. The relative energy among the computed polymorphs is 0 meV/atom.

abc: 7.853 7.853 6.294
angles: 108.61 108.61 110.27
Element x y z (fractional)
Dy 0.047 0.696 0.906
Dy 0.242 0.367 0.735
Dy 0.304 0.953 0.594
Dy 0.367 0.242 0.235
Dy 0.633 0.758 0.765
Dy 0.696 0.047 0.406
Dy 0.758 0.633 0.265
Dy 0.953 0.304 0.094
Ir 0.364 0.636 0.250
Ir 0.636 0.364 0.750
Os 0.000 0.000 0.250
Os 0.000 0.000 0.750

[2]
A geometry-optimized Ag2PdF6 structure. Source: Alexandria via LeMat-Bulk, functional PBE.

Summary:
The magnetic moment comes out at 0.00 μB/f.u. The value obtained for the electronic total energy is -3.72 eV per atom.

abc: 5.179 5.179 10.516
angles: 90.00 90.00 90.00
Element x y z (fractional)
Ag 0.000 0.000 0.162
Ag 0.000 0.000 0.838
Ag 0.500 0.500 0.338
Ag 0.500 0.500 0.662
Pd 0.000 0.000 0.500
Pd 0.500 0.500 0.000
F 0.183 0.183 0.358
F 0.183 0.183 0.642
F 0.228 0.228 0.000
F 0.272 0.728 0.500
F 0.317 0.683 0.142
F 0.317 0.683 0.858
F 0.683 0.317 0.142
F 0.683 0.317 0.858
F 0.728 0.272 0.500
F 0.772 0.772 0.000
F 0.817 0.817 0.358
F 0.817 0.817 0.642

[3]
A geometry-optimized Li2ErPd4 structure. Source: Alexandria via LeMat-Bulk, functional PBE.

Summary:
The formation energy comes out at -561 meV per atom. The magnetic moment comes out at 0.00 μB/f.u. The value obtained for the electronic total energy is -4.73 eV per atom. The density of states at the Fermi level is 0.26 states/eV per atom. The relative energy among the computed polymorphs is 0 meV/atom.

abc: 5.751 6.511 7.445
angles: 114.97 112.40 90.09
Element x y z (fractional)
Li 0.000 0.000 0.000
Li 0.125 0.636 0.250
Li 0.307 0.506 0.616
Li 0.812 0.507 0.624
Er 0.447 0.244 0.894
Er 0.671 0.975 0.343
Pd 0.060 0.839 0.623
Pd 0.205 0.061 0.410
Pd 0.239 0.677 0.966
Pd 0.392 0.339 0.274
Pd 0.562 0.838 0.623
Pd 0.726 0.676 0.966
Pd 0.883 0.339 0.273
Pd 0.920 0.269 0.839

Calculated volume values (in Å³/cell) by entry order: 302.1 282.1 229.2.